[1]
Below is crystalline ZrTlAgTeSe2 at its relaxed geometry, with properties calculated at the PBE level.

Properties
Energy above the most stable polymorph in this dataset (meV/atom): 0

Lattice parameters (Å, degrees): 8.383 4.009 10.290 90.00 109.46 90.00
Space group P2_1/m (No. 11)
Asymmetric unit:
Zr (0.188, 0.250, 0.157) x2
Tl (0.259, 0.750, 0.734) x2
Ag (0.426, 0.750, 0.393) x2
Te (0.212, 0.250, 0.443) x2
Se (0.050, 0.250, 0.874) x2
Se (0.398, 0.750, 0.131) x2

---

[2]
Below is crystalline ZrTlAgTeSe2 at its relaxed geometry, with properties calculated at the PBE level.

Properties
Energy above the most stable polymorph in this dataset (meV/atom): 21

Lattice parameters (Å, degrees): 8.373 4.025 10.296 90.00 110.38 90.00
Space group P2_1/m (No. 11)
Asymmetric unit:
Zr (0.184, 0.250, 0.164) x2
Tl (0.230, 0.750, 0.697) x2
Ag (0.427, 0.750, 0.393) x2
Te (0.421, 0.750, 0.125) x2
Se (0.048, 0.250, 0.872) x2
Se (0.230, 0.250, 0.433) x2

---

[3]
Below is crystalline ZrTlAgTeSe2 at its relaxed geometry, with properties calculated at the PBE level.

Properties
Energy above the most stable polymorph in this dataset (meV/atom): 60

Lattice parameters (Å, degrees): 3.970 15.177 10.922 90.00 90.00 90.00
Space group Cmcm (No. 63)
Asymmetric unit:
Zr (0.000, 0.000, 0.000) x4
Tl (0.000, 0.229, 0.250) x4
Ag (0.000, 0.454, 0.750) x4
Te (0.000, 0.084, 0.750) x4
Se (0.000, 0.377, 0.538) x8

---

[4]
Below is crystalline Tm2Ag2Te3Se at its relaxed geometry, with properties calculated at the PBE level.

Lattice parameters (Å, degrees): 9.657 10.057 4.531 90.00 90.45 90.00
Space group Cm (No. 8)
Asymmetric unit:
Tm (0.000, 0.000, 0.000) x2
Tm (0.027, 0.500, 0.380) x2
Ag (0.272, 0.249, 0.209) x4
Te (0.021, 0.296, 0.894) x4
Te (0.217, 0.000, 0.489) x2
Se (0.316, 0.500, 0.476) x2

---

[5]
Below is crystalline TmAgTeSe at its relaxed geometry, with properties calculated at the PBE level.

Properties
Energy above the most stable polymorph in this dataset (meV/atom): 2

Lattice parameters (Å, degrees): 9.350 10.164 4.409 90.00 90.00 90.00
Space group Cmm2 (No. 35)
Asymmetric unit:
Tm (0.000, 0.000, 0.000) x2
Tm (0.000, 0.500, 0.381) x2
Ag (0.250, 0.250, 0.151) x4
Te (0.000, 0.207, 0.493) x4
Se (0.200, 0.500, 0.904) x4

---

[6]
Below is crystalline TmAgTeSe at its relaxed geometry, with properties calculated at the PBE level.

Properties
Energy above the most stable polymorph in this dataset (meV/atom): 0

Lattice parameters (Å, degrees): 4.428 6.891 6.895 90.00 90.69 90.00
Space group P2_1 (No. 4)
Asymmetric unit:
Tm (0.197, 0.000, 0.275) x2
Ag (0.002, 0.488, 0.250) x2
Te (0.301, 0.290, 0.949) x2
Se (0.285, 0.696, 0.547) x2

---

[7]
Below is crystalline YAgTeSe at its relaxed geometry, with properties calculated at the PBE level.

Properties
Energy above the most stable polymorph in this dataset (meV/atom): 3

Lattice parameters (Å, degrees): 9.447 10.242 4.478 90.00 90.00 90.00
Space group Cmm2 (No. 35)
Asymmetric unit:
Y (0.000, 0.000, 0.000) x2
Y (0.000, 0.500, 0.388) x2
Ag (0.250, 0.250, 0.229) x4
Te (0.000, 0.293, 0.896) x4
Se (0.200, 0.000, 0.476) x4

---

[8]
Below is crystalline YAgTeSe at its relaxed geometry, with properties calculated at the PBE level.

Properties
Energy above the most stable polymorph in this dataset (meV/atom): 0

Lattice parameters (Å, degrees): 4.512 6.954 6.944 90.00 91.10 90.00
Space group P2_1 (No. 4)
Asymmetric unit:
Y (0.203, 0.000, 0.276) x2
Ag (0.002, 0.511, 0.247) x2
Te (0.296, 0.710, 0.949) x2
Se (0.274, 0.304, 0.548) x2

---

Record order is preserved below.
VASP energy: -56.8 -56.5 -112.1 -70.4 -72.3 -36.2 -80.8 -40.4 eV per cell